[1]
# RbMgInPb2 (GGA-PBE, relaxed)
# Raw total energy   -2.642 eV/atom
data_RbMgInPb2
_chemical_formula_sum 'Rb2 Mg2 In2 Pb4'
_symmetry_space_group_name_H-M 'I -4 m 2'
_symmetry_Int_Tables_number 119
_symmetry_space_group_name_Hall 'I -4 -2'
_cell_length_a 4.928
_cell_length_b 4.928
_cell_length_c 13.954
_cell_angle_alpha 90.00
_cell_angle_beta 90.00
_cell_angle_gamma 90.00
loop_
_atom_site_label
_atom_site_fract_x
_atom_site_fract_y
_atom_site_fract_z
Rb1 0.000 0.000 0.000
Mg1 0.000 0.500 0.750
In1 0.000 0.500 0.250
Pb1 0.000 0.000 0.383

***

[2]
# RbMg2In4Pb (GGA-PBE, relaxed)
# Raw total energy   -2.383 eV/atom
data_RbMg2In4Pb
_chemical_formula_sum 'Rb3 Mg6 In12 Pb3'
_symmetry_space_group_name_H-M 'R -3 m'
_symmetry_Int_Tables_number 166
_symmetry_space_group_name_Hall '-R 3 2"'
_cell_length_a 5.1578
_cell_length_b 5.1578
_cell_length_c 34.3495
_cell_angle_alpha 90.00
_cell_angle_beta 90.00
_cell_angle_gamma 120.00
loop_
_atom_site_label
_atom_site_fract_x
_atom_site_fract_y
_atom_site_fract_z
Rb1 0.0000 0.0000 0.0000
Mg1 0.0000 0.0000 0.2081
In1 0.0000 0.0000 0.1085
In2 0.0000 0.0000 0.4078
Pb1 0.0000 0.0000 0.5000

***

[3]
# Rb2MgIn3Pb4 (GGA-PBE, relaxed)
# Raw total energy   -2.765 eV/atom
data_Rb2MgIn3Pb4
_chemical_formula_sum 'Rb2 Mg1 In3 Pb4'
_symmetry_space_group_name_H-M 'P -4 m 2'
_symmetry_Int_Tables_number 115
_cell_length_a 5.250
_cell_length_b 5.250
_cell_length_c 12.635
_cell_angle_alpha 90.00
_cell_angle_beta 90.00
_cell_angle_gamma 90.00
loop_
_symmetry_equiv_pos_as_xyz
'x,y,z'
'y,-x,-z'
'-x,-y,z'
'-y,x,-z'
'-x,y,z'
'-y,-x,-z'
'x,-y,z'
'y,x,-z'
loop_
_atom_site_label
_atom_site_fract_x
_atom_site_fract_y
_atom_site_fract_z
Rb1 0.000 0.500 0.248
Mg1 0.500 0.500 0.000
In1 0.000 0.000 0.000
In2 0.000 0.500 0.634
Pb1 0.000 0.000 0.500
Pb2 0.000 0.500 0.872
Pb3 0.500 0.500 0.500

***

| no. | ΔH_f (0 K) (meV/atom) | calculated volume (Å³ per cell) |
| --- | --- | --- |
| 1 | -99 | 338.91 |
| 2 | -31 | 791.37 |
| 3 | -107 | 348.22 |